Entry 1:
# Ce2MgSn8 | Alexandria via LeMat-Bulk | PBE | optimized geometry
# - calculated density (Mg/m³) = 7.1
# - VASP energy (eV per atom) = -4.502
# - M_tot (μB/cell) = 0.00
# - formation energy from the elements (eV per atom) = -0.367
data_Ce2MgSn8
_chemical_formula_sum 'Ce2 Mg1 Sn8'
_cell_length_a 4.677
_cell_length_b 4.677
_cell_length_c 13.446
_cell_angle_alpha 90.00
_cell_angle_beta 90.00
_cell_angle_gamma 90.00
_space_group_name_H-M_alt 'P 4/m m m'
_space_group_IT_number 123
_space_group_name_Hall '-P 4 2'
loop_
_atom_site_label
_atom_site_type_symbol
_atom_site_fract_x
_atom_site_fract_y
_atom_site_fract_z
Ce1 Ce 0.000 0.000 0.172
Mg1 Mg 0.000 0.000 0.500
Sn1 Sn 0.000 0.500 0.000
Sn2 Sn 0.000 0.500 0.358
Sn3 Sn 0.500 0.500 0.180

=====

Entry 2:
# TbCeMgSn | Alexandria via LeMat-Bulk | PBE | optimized geometry
# - calculated density (Mg/m³) = 6.7
# - VASP energy (eV per atom) = -4.384
# - M_tot (μB/cell) = 4.57
# - formation energy from the elements (eV per atom) = -0.344
data_TbCeMgSn
_chemical_formula_sum 'Tb4 Ce4 Mg4 Sn4'
_cell_length_a 7.592
_cell_length_b 7.592
_cell_length_c 7.592
_cell_angle_alpha 90.00
_cell_angle_beta 90.00
_cell_angle_gamma 90.00
_space_group_name_H-M_alt 'F -4 3 m'
_space_group_IT_number 216
_space_group_name_Hall 'F -4 2 3'
loop_
_atom_site_label
_atom_site_type_symbol
_atom_site_fract_x
_atom_site_fract_y
_atom_site_fract_z
Tb1 Tb 0.000 0.000 0.000
Ce1 Ce 0.000 0.000 0.500
Mg1 Mg 0.250 0.250 0.750
Sn1 Sn 0.250 0.250 0.250

=====

Entry 3:
# CeThMgSn | Alexandria via LeMat-Bulk | PBE | optimized geometry
# - calculated density (Mg/m³) = 7.5
# - VASP energy (eV per atom) = -4.937
# - M_tot (μB/cell) = 5.68
# - formation energy from the elements (eV per atom) = -0.199
data_CeThMgSn
_chemical_formula_sum 'Ce4 Th4 Mg4 Sn4'
_cell_length_a 7.692
_cell_length_b 7.692
_cell_length_c 7.692
_cell_angle_alpha 90.00
_cell_angle_beta 90.00
_cell_angle_gamma 90.00
_space_group_name_H-M_alt 'F -4 3 m'
_space_group_IT_number 216
_space_group_name_Hall 'F -4 2 3'
loop_
_atom_site_label
_atom_site_type_symbol
_atom_site_fract_x
_atom_site_fract_y
_atom_site_fract_z
Ce1 Ce 0.000 0.000 0.000
Th1 Th 0.000 0.000 0.500
Mg1 Mg 0.250 0.250 0.750
Sn1 Sn 0.250 0.250 0.250

=====

Entry 4:
# CeTmMgSn | Alexandria via LeMat-Bulk | PBE | optimized geometry
# - calculated density (Mg/m³) = 7.0
# - VASP energy (eV per atom) = -4.324
# - M_tot (μB/cell) = 4.48
# - formation energy from the elements (eV per atom) = -0.323
data_CeTmMgSn
_chemical_formula_sum 'Ce4 Tm4 Mg4 Sn4'
_cell_length_a 7.532
_cell_length_b 7.532
_cell_length_c 7.532
_cell_angle_alpha 90.00
_cell_angle_beta 90.00
_cell_angle_gamma 90.00
_space_group_name_H-M_alt 'F -4 3 m'
_space_group_IT_number 216
_space_group_name_Hall 'F -4 2 3'
loop_
_atom_site_label
_atom_site_type_symbol
_atom_site_fract_x
_atom_site_fract_y
_atom_site_fract_z
Ce1 Ce 0.000 0.000 0.000
Tm1 Tm 0.000 0.000 0.500
Mg1 Mg 0.250 0.250 0.750
Sn1 Sn 0.250 0.250 0.250

=====

Entry 5:
# CeYMgSn | Alexandria via LeMat-Bulk | PBE | optimized geometry
# - calculated density (Mg/m³) = 5.7
# - VASP energy (eV per atom) = -4.856
# - M_tot (μB/cell) = 4.50
# - formation energy from the elements (eV per atom) = -0.357
data_CeYMgSn
_chemical_formula_sum 'Ce4 Y4 Mg4 Sn4'
_cell_length_a 7.585
_cell_length_b 7.585
_cell_length_c 7.585
_cell_angle_alpha 90.00
_cell_angle_beta 90.00
_cell_angle_gamma 90.00
_space_group_name_H-M_alt 'F -4 3 m'
_space_group_IT_number 216
_space_group_name_Hall 'F -4 2 3'
loop_
_atom_site_label
_atom_site_type_symbol
_atom_site_fract_x
_atom_site_fract_y
_atom_site_fract_z
Ce1 Ce 0.000 0.000 0.000
Y1 Y 0.000 0.000 0.500
Mg1 Mg 0.250 0.250 0.250
Sn1 Sn 0.250 0.250 0.750

=====

Entry 6:
# Ce2YMg2Sn2 | Alexandria via LeMat-Bulk | PBE | optimized geometry
# - calculated density (Mg/m³) = 6.0
# - VASP energy (eV per atom) = -4.512
# - M_tot (μB/cell) = 8.54
# - formation energy from the elements (eV per atom) = -0.294
data_Ce2YMg2Sn2
_chemical_formula_sum 'Ce6 Y3 Mg6 Sn6'
_cell_length_a 4.8146
_cell_length_b 4.8146
_cell_length_c 27.1702
_cell_angle_alpha 90.00
_cell_angle_beta 90.00
_cell_angle_gamma 120.00
_space_group_name_H-M_alt 'R -3 m'
_space_group_IT_number 166
_space_group_name_Hall '-R 3 2"'
loop_
_atom_site_label
_atom_site_type_symbol
_atom_site_fract_x
_atom_site_fract_y
_atom_site_fract_z
Ce1 Ce 0.0000 0.0000 0.1425
Y1 Y 0.0000 0.0000 0.0000
Mg1 Mg 0.0000 0.0000 0.4110
Sn1 Sn 0.0000 0.0000 0.2690

=====

Entry 7:
# CeMgZnSn | Alexandria via LeMat-Bulk | PBE | optimized geometry
# - calculated density (Mg/m³) = 6.2
# - VASP energy (eV per atom) = -3.523
# - M_tot (μB/cell) = 0.01
# - formation energy from the elements (eV per atom) = -0.322
data_CeMgZnSn
_chemical_formula_sum 'Ce4 Mg4 Zn4 Sn4'
_cell_length_a 7.203
_cell_length_b 7.203
_cell_length_c 7.203
_cell_angle_alpha 90.00
_cell_angle_beta 90.00
_cell_angle_gamma 90.00
_space_group_name_H-M_alt 'F -4 3 m'
_space_group_IT_number 216
_space_group_name_Hall 'F -4 2 3'
loop_
_atom_site_label
_atom_site_type_symbol
_atom_site_fract_x
_atom_site_fract_y
_atom_site_fract_z
Ce1 Ce 0.000 0.000 0.000
Mg1 Mg 0.000 0.000 0.500
Zn1 Zn 0.250 0.250 0.750
Sn1 Sn 0.250 0.250 0.250

=====

Entry 8:
# CeMgZrSn | Alexandria via LeMat-Bulk | PBE | optimized geometry
# - calculated density (Mg/m³) = 6.3
# - VASP energy (eV per atom) = -5.214
# - M_tot (μB/cell) = 7.60
# - formation energy from the elements (eV per atom) = -0.195
data_CeMgZrSn
_chemical_formula_sum 'Ce4 Mg4 Zr4 Sn4'
_cell_length_a 7.350
_cell_length_b 7.350
_cell_length_c 7.350
_cell_angle_alpha 90.00
_cell_angle_beta 90.00
_cell_angle_gamma 90.00
_space_group_name_H-M_alt 'F -4 3 m'
_space_group_IT_number 216
_space_group_name_Hall 'F -4 2 3'
loop_
_atom_site_label
_atom_site_type_symbol
_atom_site_fract_x
_atom_site_fract_y
_atom_site_fract_z
Ce1 Ce 0.000 0.000 0.000
Mg1 Mg 0.250 0.250 0.250
Zr1 Zr 0.000 0.000 0.500
Sn1 Sn 0.250 0.250 0.750

=====

Entry 9:
# SrCeMg2 | Alexandria via LeMat-Bulk | PBE | optimized geometry
# - distance to the lowest polymorph of the same formula (eV per formula unit) = 0.58
# - calculated density (Mg/m³) = 3.6
# - VASP energy (eV per atom) = -2.516
# - M_tot (μB/cell) = 3.80
# - formation energy from the elements (eV per atom) = 0.186
data_SrCeMg2
_chemical_formula_sum 'Sr3 Ce3 Mg6'
_cell_length_a 3.5705
_cell_length_b 3.5705
_cell_length_c 34.4793
_cell_angle_alpha 90.00
_cell_angle_beta 90.00
_cell_angle_gamma 120.00
_space_group_name_H-M_alt 'R -3 m'
_space_group_IT_number 166
_space_group_name_Hall '-R 3 2"'
loop_
_atom_site_label
_atom_site_type_symbol
_atom_site_fract_x
_atom_site_fract_y
_atom_site_fract_z
Sr1 Sr 0.0000 0.0000 0.0000
Ce1 Ce 0.0000 0.0000 0.5000
Mg1 Mg 0.0000 0.0000 0.2474

=====

Entry 10:
# SrCeMg2 | Alexandria via LeMat-Bulk | PBE | optimized geometry
# - distance to the lowest polymorph of the same formula (eV per formula unit) = 0.00
# - calculated density (Mg/m³) = 3.6
# - VASP energy (eV per atom) = -2.661
# - M_tot (μB/cell) = 1.21
# - formation energy from the elements (eV per atom) = 0.040
data_SrCeMg2
_chemical_formula_sum 'Sr1 Ce1 Mg2'
_cell_length_a 3.993
_cell_length_b 3.993
_cell_length_c 8.103
_cell_angle_alpha 90.00
_cell_angle_beta 90.00
_cell_angle_gamma 90.00
_space_group_name_H-M_alt 'P 4/m m m'
_space_group_IT_number 123
_space_group_name_Hall '-P 4 2'
loop_
_atom_site_label
_atom_site_type_symbol
_atom_site_fract_x
_atom_site_fract_y
_atom_site_fract_z
Sr1 Sr 0.000 0.000 0.000
Ce1 Ce 0.000 0.000 0.500
Mg1 Mg 0.500 0.500 0.276

=====

Entry 11:
# SrCeMg17 | Alexandria via LeMat-Bulk | PBE | optimized geometry
# - calculated density (Mg/m³) = 2.2
# - VASP energy (eV per atom) = -1.860
# - M_tot (μB/cell) = 3.56
# - formation energy from the elements (eV per atom) = -0.032
data_SrCeMg17
_chemical_formula_sum 'Sr3 Ce3 Mg51'
_cell_length_a 10.3864
_cell_length_b 10.3864
_cell_length_c 15.3140
_cell_angle_alpha 90.00
_cell_angle_beta 90.00
_cell_angle_gamma 120.00
_space_group_name_H-M_alt 'R 3 m'
_space_group_IT_number 160
_space_group_name_Hall 'R 3 -2"'
loop_
_atom_site_label
_atom_site_type_symbol
_atom_site_fract_x
_atom_site_fract_y
_atom_site_fract_z
Sr1 Sr 0.0000 0.0000 0.0000
Ce1 Ce 0.0000 0.0000 0.6695
Mg1 Mg 0.0000 0.0000 0.2395
Mg2 Mg 0.0000 0.0000 0.4379
Mg3 Mg 0.0022 0.3001 0.3372
Mg4 Mg 0.0088 0.5044 0.4890
Mg5 Mg 0.1675 0.3350 0.5181
Mg6 Mg 0.1676 0.3352 0.1713

=====

Entry 12:
# SrCeMg2 | Alexandria via LeMat-Bulk | PBE | optimized geometry
# - distance to the lowest polymorph of the same formula (eV per formula unit) = 0.16
# - calculated density (Mg/m³) = 3.5
# - VASP energy (eV per atom) = -2.622
# - M_tot (μB/cell) = 5.06
# - formation energy from the elements (eV per atom) = 0.079
data_SrCeMg2
_chemical_formula_sum 'Sr4 Ce4 Mg8'
_cell_length_a 8.030
_cell_length_b 8.030
_cell_length_c 8.030
_cell_angle_alpha 90.00
_cell_angle_beta 90.00
_cell_angle_gamma 90.00
_space_group_name_H-M_alt 'F m -3 m'
_space_group_IT_number 225
_space_group_name_Hall '-F 4 2 3'
loop_
_atom_site_label
_atom_site_type_symbol
_atom_site_fract_x
_atom_site_fract_y
_atom_site_fract_z
Sr1 Sr 0.000 0.000 0.000
Ce1 Ce 0.000 0.000 0.500
Mg1 Mg 0.250 0.250 0.250